Below is a geometry-optimized NaHPb3 structure, with properties calculated at the GGA-PBE level.

Output
The space-group type is Pm-3m (221). The total energy comes out at -2.189 eV per atom.

a = 5.5595 Å, b = 5.5595 Å, c = 5.5595 Å
α = 90.00°, β = 90.00°, γ = 90.00°
Site moments in Bohr magnetons follow the coordinates.
Fractional positions:
Pb 0.0000 0.5000 0.0000  0.01
Pb 0.0000 0.0000 0.5000  0.00
Pb 0.5000 0.0000 0.0000  0.02
Na 0.0000 0.0000 0.0000  0.00
H 0.5000 0.5000 0.5000  0.26


Below is a geometry-optimized NaHPb3 structure, with properties calculated at the GGA-PBE level.

Output
The space-group type is Pm-3m (221). The total energy comes out at -3.067 eV per atom.

a = 5.0023 Å, b = 5.0023 Å, c = 5.0023 Å
α = 90.00°, β = 90.00°, γ = 90.00°
Fractional positions:
Pb 0.0000 0.5000 0.0000
Pb 0.0000 0.0000 0.5000
Pb 0.5000 0.0000 0.0000
Na 0.5000 0.5000 0.5000
H 0.0000 0.0000 0.0000


Below is a geometry-optimized Na2HPb structure, with properties calculated at the GGA-PBE level.

Output
The space-group type is R-3m (166). The total energy comes out at -2.533 eV per atom.

a = 3.4777 Å, b = 3.4777 Å, c = 8.4805 Å
α = 78.17°, β = 78.17°, γ = 60.00°
Fractional positions:
Pb 0.5000 0.5000 0.5000
Na 0.7224 0.7224 0.8329
Na 0.2776 0.2776 0.1671
H 0.0000 0.0000 0.0000


Below is a geometry-optimized Na2HPb structure, with properties calculated at the GGA-PBE level.

Output
The space-group type is Cm (8). The total energy comes out at -2.526 eV per atom.

a = 3.5728 Å, b = 3.5728 Å, c = 8.4815 Å
α = 78.75°, β = 78.75°, γ = 55.94°
Fractional positions:
Na 0.0674 0.0674 0.8297
Na 0.2774 0.2774 0.1696
H 0.6703 0.6703 0.0002
Pb 0.4848 0.4848 0.5004


Below is a geometry-optimized NaHPb2 structure, with properties calculated at the GGA-PBE level.

Output
The space-group type is Fm-3m (225). The total energy comes out at -2.582 eV per atom.

a = 5.0773 Å, b = 5.0773 Å, c = 5.0773 Å
α = 60.00°, β = 60.00°, γ = 60.00°
Fractional positions:
Pb 0.2500 0.2500 0.2500
Pb 0.7500 0.7500 0.7500
Na 0.5000 0.5000 0.5000
H 0.0000 0.0000 0.0000


Below is a geometry-optimized Na2H2Pb structure, with properties calculated at the GGA-PBE level.

Output
The space-group type is P4/mbm (127). The total energy comes out at -2.459 eV per atom.

a = 7.3863 Å, b = 7.3863 Å, c = 3.2006 Å
α = 90.00°, β = 90.00°, γ = 90.00°
Fractional positions:
Pb 0.0000 0.0000 0.0000
Pb 0.5000 0.5000 0.0000
Na 0.1425 0.6425 0.5000
Na 0.6425 0.8575 0.5000
Na 0.8575 0.3575 0.5000
Na 0.3575 0.1425 0.5000
H 0.3534 0.8534 0.0000
H 0.8534 0.6466 0.0000
H 0.6466 0.1466 0.0000
H 0.1466 0.3534 0.0000


Below is a geometry-optimized NaHPb2 structure, with properties calculated at the GGA-PBE level.

Output
The space-group type is I-42d (122). The total energy comes out at -2.863 eV per atom.

a = 8.1406 Å, b = 8.1406 Å, c = 6.4456 Å
α = 50.84°, β = 50.84°, γ = 90.00°
Fractional positions:
Pb 0.5177 0.1250 0.2500
Pb 0.2323 0.6250 0.2500
Pb 0.3750 0.4823 0.7500
Pb 0.8750 0.7677 0.7500
Na 0.0000 0.0000 0.0000
Na 0.7500 0.2500 0.5000
H 0.5000 0.5000 0.0000
H 0.2500 0.7500 0.5000


Below is a geometry-optimized NaH2Pb structure, with properties calculated at the GGA-PBE level.

Output
The space-group type is Fm-3m (225). The total energy comes out at -2.537 eV per atom.

a = 4.4179 Å, b = 4.4179 Å, c = 4.4179 Å
α = 60.00°, β = 60.00°, γ = 60.00°
Fractional positions:
Pb 0.5000 0.5000 0.5000
Na 0.0000 0.0000 0.0000
H 0.2500 0.2500 0.2500
H 0.7500 0.7500 0.7500